Computed, not measured: a relaxed Rb2HfB2 crystal at the PBEsol level of DFT.

Geometry as POSCAR:
```
Rb2HfB2
1.0
2.950 0.000 0.000
0.000 8.556 0.000
0.000 0.000 8.556
B Rb Hf
4 4 2
Direct
0.500 0.182 0.682
0.500 0.818 0.318
0.500 0.682 0.818
0.500 0.318 0.182
0.000 0.623 0.123
0.000 0.377 0.877
0.000 0.877 0.623
0.000 0.123 0.377
0.000 0.500 0.500
0.000 0.000 0.000
```

**Space-group type**: P4/mbm, No. 127
**Total energy**: -32.72 eV/cell
**ΔH_f (0 K)**: 197 kJ/mol of atoms